(1)
DFT (GGA-PBE) results for a relaxed SrZr3B crystal.

The structure in extended XYZ format:
```
5
Lattice="-4.7031 1.0771 0.8433 -1.3255 -2.8421 -3.7624 -0.3381 -3.8409 3.0205" Properties=species:S:1:pos:R:3 pbc="T T T"
Sr -3.1833 -2.8029 0.0507
B 0.0000 0.0000 0.0000
Zr -0.6628 -1.4210 -1.8812
Zr -0.1690 -1.9205 1.5102
Zr -2.3515 0.5386 0.4217
```

Values from the calculation:
Energy above the lowest structure with this stoichiometry: 0.000 eV/atom
Energy of formation: 243 meV/atom
SG: No. 221
Crystal system: cubic

---

(2)
DFT (GGA-PBE) results for a relaxed SrZrB3 crystal.

The structure in extended XYZ format:
```
5
Lattice="4.4027 0.0000 0.0000 0.0000 4.4027 0.0000 0.0000 0.0000 4.4027" Properties=species:S:1:pos:R:3 pbc="T T T"
Sr 0.0000 0.0000 0.0000
B 0.0000 2.2014 0.0000
B 0.0000 0.0000 2.2014
B 2.2014 0.0000 0.0000
Zr 2.2014 2.2014 2.2014
```

Values from the calculation:
Energy above the lowest structure with this stoichiometry: 1.456 eV/atom
Energy of formation: 2371 meV/atom
SG: No. 221
Crystal system: cubic